Record 1
The following is a PBE-GGA calculation of crystalline CaMgSe2 at its relaxed geometry, from the Alexandria database.

abc: 3.907 3.907 14.481
angles: 90.00 90.00 90.00
Space group I-4m2 (No. 119)
Unique sites:
Ca  0.000  0.000  0.000 (multiplicity 2)
Mg  0.000  0.500  0.750 (multiplicity 2)
Se  0.000  0.000  0.500 (multiplicity 2)
Se  0.000  0.500  0.250 (multiplicity 2)

## Properties
**E_form (uncorrected)**: -1.206 eV/atom



Record 2
The following is a PBE-GGA calculation of crystalline VNiSN2 at its relaxed geometry, from the Alexandria database.

abc: 3.633 3.633 4.459
angles: 90.00 90.00 90.00
Space group P4/mmm (No. 123)
Unique sites:
V  0.000  0.000  0.000 (multiplicity 1)
Ni  0.500  0.500  0.500 (multiplicity 1)
S  0.500  0.500  0.000 (multiplicity 1)
N  0.000  0.500  0.500 (multiplicity 2)

## Properties
**Energy above the most stable polymorph in this dataset**: 2.932 eV per formula unit
**E_form (uncorrected)**: 1.094 eV/atom



Record 3
The following is a PBE-GGA calculation of crystalline CaAlTc2N at its relaxed geometry, from the Alexandria database.

abc: 4.093 4.093 4.632
angles: 90.00 90.00 90.00
Space group P4/mmm (No. 123)
Unique sites:
Ca  0.000  0.000  0.000 (multiplicity 1)
Al  0.500  0.500  0.000 (multiplicity 1)
Tc  0.000  0.500  0.500 (multiplicity 2)
N  0.500  0.500  0.500 (multiplicity 1)

## Properties
**E_form (uncorrected)**: 0.199 eV/atom



Record 4
The following is a PBE-GGA calculation of crystalline Li2ReSb2 at its relaxed geometry, from the Alexandria database.

abc: 6.966 6.966 3.991
angles: 90.00 90.00 90.00
Space group P4/mbm (No. 127)
Unique sites:
Li  0.160  0.340  0.000 (multiplicity 4)
Re  0.000  0.000  0.500 (multiplicity 2)
Sb  0.150  0.650  0.500 (multiplicity 4)

## Properties
**E_form (uncorrected)**: 0.045 eV/atom



Record 5
The following is a PBE-GGA calculation of crystalline Al5Ga2Pd12 at its relaxed geometry, from the Alexandria database.

abc: 13.458 5.728 8.187
angles: 90.00 97.68 90.00
Space group C2/m (No. 12)
Unique sites:
Al  0.000  0.000  0.000 (multiplicity 2)
Al  0.158  0.500  0.353 (multiplicity 4)
Al  0.216  0.500  0.866 (multiplicity 4)
Ga  0.000  0.252  0.500 (multiplicity 4)
Pd  0.022  0.500  0.783 (multiplicity 4)
Pd  0.110  0.000  0.337 (multiplicity 4)
Pd  0.142  0.265  0.071 (multiplicity 8)
Pd  0.184  0.252  0.624 (multiplicity 8)

## Properties
**DFT total energy**: -5.1411 eV per atom



Record 6
The following is a PBE-GGA calculation of crystalline Li3Er3RhO8 at its relaxed geometry, from the Alexandria database.

abc: 6.5489 6.5489 14.8875
angles: 90.00 90.00 120.00
Space group R-3m (No. 166, hexagonal axes)
Unique sites:
Li  0.0000  0.5000  0.0000 (multiplicity 9)
Er  0.0000  0.5000  0.5000 (multiplicity 9)
Rh  0.0000  0.0000  0.5000 (multiplicity 3)
O  0.0000  0.0000  0.2440 (multiplicity 6)
O  0.0275  0.5137  0.2428 (multiplicity 18)

## Properties
**E_form (uncorrected)**: -2.453 eV/atom



Record 7
The following is a PBE-GGA calculation of crystalline K2SrMgF6 at its relaxed geometry, from the Alexandria database.

abc: 6.118 6.184 10.602
angles: 90.00 124.92 90.00
Space group P2_1/c (No. 14)
Unique sites:
K  0.242  0.033  0.250 (multiplicity 4)
Sr  0.500  0.000  0.000 (multiplicity 2)
Mg  0.000  0.000  0.500 (multiplicity 2)
F  0.151  0.235  0.961 (multiplicity 4)
F  0.230  0.693  0.965 (multiplicity 4)
F  0.297  0.021  0.728 (multiplicity 4)

## Properties
**E_form (uncorrected)**: -3.344 eV/atom



Record 8
The following is a PBE-GGA calculation of crystalline ErBeZn2Au4 at its relaxed geometry, from the Alexandria database.

abc: 4.4801 4.4801 23.9671
angles: 90.00 90.00 120.00
Space group R-3m (No. 166, hexagonal axes)
Unique sites:
Er  0.0000  0.0000  0.0000 (multiplicity 3)
Be  0.0000  0.0000  0.5000 (multiplicity 3)
Zn  0.0000  0.0000  0.2504 (multiplicity 6)
Au  0.0000  0.0000  0.1348 (multiplicity 6)
Au  0.0000  0.0000  0.3982 (multiplicity 6)

## Properties
**DFT total energy**: -3.3704 eV per atom



Record 9
The following is a PBE-GGA calculation of crystalline SrBi at its relaxed geometry, from the Alexandria database.

abc: 14.080 14.080 4.351
angles: 90.00 90.00 90.00
Space group I4/m (No. 87)
Unique sites:
Sr  0.061  0.680  0.000 (multiplicity 8)
Bi  0.166  0.245  0.000 (multiplicity 8)

## Properties
**DFT total energy**: -3.0782 eV per atom



Record 10
The following is a PBE-GGA calculation of crystalline Pu3GaSb2 at its relaxed geometry, from the Alexandria database.

abc: 12.194 4.728 10.877
angles: 90.00 90.00 90.00
Space group Pnma (No. 62)
Unique sites:
Pu  0.029  0.250  0.120 (multiplicity 4)
Pu  0.138  0.750  0.586 (multiplicity 4)
Pu  0.197  0.250  0.834 (multiplicity 4)
Ga  0.157  0.250  0.355 (multiplicity 4)
Sb  0.016  0.750  0.329 (multiplicity 4)
Sb  0.190  0.750  0.054 (multiplicity 4)

## Properties
**E_form (uncorrected)**: -0.373 eV/atom



Record 11
The following is a PBE-GGA calculation of crystalline K2PmMnTe4 at its relaxed geometry, from the Alexandria database.

abc: 8.905 9.328 13.371
angles: 90.00 90.00 90.00
Space group Imma (No. 74)
Unique sites:
K  0.000  0.000  0.000 (multiplicity 4)
K  0.250  0.250  0.250 (multiplicity 4)
Pm  0.000  0.000  0.500 (multiplicity 4)
Mn  0.250  0.250  0.750 (multiplicity 4)
Te  0.000  0.062  0.741 (multiplicity 8)
Te  0.233  0.250  0.508 (multiplicity 8)

## Properties
**E_form (uncorrected)**: -0.867 eV/atom



Record 12
The following is a PBE-GGA calculation of crystalline AgMo2Br2 at its relaxed geometry, from the Alexandria database.

abc: 7.889 7.889 2.937
angles: 90.00 90.00 90.00
Space group P4/mbm (No. 127)
Unique sites:
Ag  0.000  0.000  0.000 (multiplicity 2)
Mo  0.171  0.329  0.500 (multiplicity 4)
Br  0.135  0.635  0.000 (multiplicity 4)

## Properties
**Energy above the most stable polymorph in this dataset**: 1.114 eV per formula unit
**E_form (uncorrected)**: 1.052 eV/atom



Record 13
The following is a PBE-GGA calculation of crystalline Y6AsC2Se3 at its relaxed geometry, from the Alexandria database.

abc: 17.344 3.881 8.051
angles: 90.00 104.95 90.00
Space group C2/m (No. 12)
Unique sites:
Y  0.020  0.000  0.257 (multiplicity 4)
Y  0.170  0.500  0.124 (multiplicity 4)
Y  0.179  0.500  0.560 (multiplicity 4)
As  0.000  0.500  0.000 (multiplicity 2)
C  0.170  0.000  0.338 (multiplicity 4)
Se  0.000  0.500  0.500 (multiplicity 2)
Se  0.162  0.000  0.832 (multiplicity 4)

## Properties
**E_form (uncorrected)**: -1.346 eV/atom



Record 14
The following is a PBE-GGA calculation of crystalline LaBeRe2 at its relaxed geometry, from the Alexandria database.

abc: 5.704 9.316 2.662
angles: 90.00 90.00 90.00
Space group Cmmm (No. 65)
Unique sites:
La  0.000  0.000  0.000 (multiplicity 2)
Be  0.000  0.500  0.000 (multiplicity 2)
Re  0.250  0.250  0.500 (multiplicity 4)

## Properties
**DFT total energy**: -7.3881 eV per atom



Record 15
The following is a PBE-GGA calculation of crystalline LaCe2Re at its relaxed geometry, from the Alexandria database.

abc: 3.473 3.473 8.505
angles: 90.00 90.00 90.00
Space group P4/mmm (No. 123)
Unique sites:
La  0.000  0.000  0.000 (multiplicity 1)
Ce  0.500  0.500  0.298 (multiplicity 2)
Re  0.000  0.000  0.500 (multiplicity 1)

## Properties
**DFT total energy**: -7.1818 eV per atom



Record 16
The following is a PBE-GGA calculation of crystalline LiFeCu2 at its relaxed geometry, from the Alexandria database.

abc: 8.513 2.470 4.668
angles: 90.00 97.05 90.00
Space group C2/m (No. 12)
Unique sites:
Li  0.000  0.000  0.000 (multiplicity 2)
Fe  0.000  0.500  0.500 (multiplicity 2)
Cu  0.245  0.000  0.746 (multiplicity 4)

## Properties
**DFT total energy**: -4.4852 eV per atom



Record 17
The following is a PBE-GGA calculation of crystalline CsTlF3 at its relaxed geometry, from the Alexandria database.

abc: 5.327 5.327 19.873
angles: 90.00 90.00 90.00
Space group I-4m2 (No. 119)
Unique sites:
Cs  0.000  0.000  0.095 (multiplicity 4)
Tl  0.000  0.000  0.500 (multiplicity 2)
Tl  0.000  0.500  0.250 (multiplicity 2)
F  0.000  0.242  0.329 (multiplicity 8)
F  0.000  0.500  0.518 (multiplicity 4)

## Properties
**E_form (uncorrected)**: -2.022 eV/atom



Record 18
The following is a PBE-GGA calculation of crystalline V3NiPt at its relaxed geometry, from the Alexandria database.

abc: 4.683 4.683 4.683
angles: 90.00 90.00 90.00
Space group Pm-3m (No. 221)
Unique sites:
V  0.000  0.000  0.500 (multiplicity 3)
Ni  0.500  0.500  0.500 (multiplicity 1)
Pt  0.000  0.000  0.000 (multiplicity 1)

## Properties
**Energy above the most stable polymorph in this dataset**: 3.065 eV per formula unit



Record 19
The following is a PBE-GGA calculation of crystalline LaPmCoRu at its relaxed geometry, from the Alexandria database.

abc: 7.022 7.022 7.022
angles: 90.00 90.00 90.00
Space group F-43m (No. 216)
Unique sites:
La  0.000  0.000  0.000 (multiplicity 4)
Pm  0.000  0.000  0.500 (multiplicity 4)
Co  0.250  0.250  0.750 (multiplicity 4)
Ru  0.250  0.250  0.250 (multiplicity 4)

## Properties
**DFT total energy**: -6.5357 eV per atom



Record 20
The following is a PBE-GGA calculation of crystalline SrLiLa2 at its relaxed geometry, from the Alexandria database.

abc: 3.729 6.202 6.391
angles: 90.00 98.52 90.00
Space group P2/m (No. 10)
Unique sites:
Sr  0.000  0.000  0.000 (multiplicity 1)
Li  0.500  0.000  0.500 (multiplicity 1)
La  0.276  0.500  0.720 (multiplicity 2)

## Properties
**Energy above the most stable polymorph in this dataset**: 0.334 eV per formula unit



Record 21
The following is a PBE-GGA calculation of crystalline BeTc2Se at its relaxed geometry, from the Alexandria database.

abc: 5.932 5.932 5.932
angles: 90.00 90.00 90.00
Space group Fm-3m (No. 225)
Unique sites:
Be  0.000  0.000  0.000 (multiplicity 4)
Tc  0.250  0.250  0.250 (multiplicity 8)
Se  0.000  0.000  0.500 (multiplicity 4)

## Properties
**Energy above the most stable polymorph in this dataset**: 0.811 eV per formula unit
**E_form (uncorrected)**: 0.170 eV/atom



Record 22
The following is a PBE-GGA calculation of crystalline Zr3CrPt at its relaxed geometry, from the Alexandria database.

abc: 4.735 4.735 4.735
angles: 90.00 90.00 90.00
Space group Pm-3m (No. 221)
Unique sites:
Zr  0.000  0.000  0.500 (multiplicity 3)
Cr  0.000  0.000  0.000 (multiplicity 1)
Pt  0.500  0.500  0.500 (multiplicity 1)

## Properties
**Energy above the most stable polymorph in this dataset**: 0.000 eV per formula unit



Record 23
The following is a PBE-GGA calculation of crystalline Dy2YPu3Te6 at its relaxed geometry, from the Alexandria database.

abc: 19.143 4.384 8.799
angles: 90.00 102.96 90.00
Space group C2/m (No. 12)
Unique sites:
Dy  0.167  0.000  0.336 (multiplicity 4)
Y  0.000  0.500  0.000 (multiplicity 2)
Pu  0.000  0.500  0.500 (multiplicity 2)
Pu  0.167  0.000  0.836 (multiplicity 4)
Te  0.001  0.000  0.248 (multiplicity 4)
Te  0.166  0.500  0.088 (multiplicity 4)
Te  0.168  0.500  0.583 (multiplicity 4)

## Properties
**E_form (uncorrected)**: -1.214 eV/atom